# Th2BPd2Pt4

Th2BPd2Pt4 after structural relaxation (GGA-PBE, Alexandria via LeMat-Bulk).

Cell and atoms, written as POSCAR:
```
Th2BPd2Pt4
1.0
-3.105 3.105 4.215
3.105 -3.105 4.215
3.105 3.105 -4.215
Th B Pd Pt
2 1 2 4
Direct
0.250 0.750 0.500
0.750 0.250 0.500
0.000 0.000 0.000
0.273 0.273 0.000
0.727 0.727 0.000
0.247 0.247 0.494
0.247 0.753 0.000
0.753 0.247 0.000
0.753 0.753 0.506
```

The space group is No. 139. The formation energy is -0.889 eV/atom.

# CaTbIr4

CaTbIr4 after structural relaxation (GGA-PBE, Alexandria via LeMat-Bulk).

Cell and atoms, written as POSCAR:
```
CaTbIr4
1.0
0.000 3.795 3.795
3.795 0.000 3.795
3.795 3.795 0.000
Ca Tb Ir
1 1 4
Direct
0.000 0.000 0.000
0.250 0.250 0.250
0.125 0.625 0.625
0.625 0.125 0.625
0.625 0.625 0.125
0.625 0.625 0.625
```

The space group is No. 216. The formation energy is -0.639 eV/atom.

# Ag2I2O

Ag2I2O after structural relaxation (GGA-PBE, Alexandria via LeMat-Bulk).

Cell and atoms, written as POSCAR:
```
Ag2I2O
1.0
7.275 0.000 0.000
0.000 7.275 0.000
0.000 0.000 4.612
Ag I O
4 4 2
Direct
0.134 0.366 0.000
0.366 0.866 0.000
0.634 0.134 0.000
0.866 0.634 0.000
0.210 0.710 0.500
0.290 0.210 0.500
0.710 0.790 0.500
0.790 0.290 0.500
0.000 0.000 0.500
0.500 0.500 0.500
```

For the energy relative to the elements, uncorrected, the calculation gives 0.36 eV per atom. The value obtained for the distance to the lowest polymorph of the same formula is 0.0000 eV per atom. The space group is No. 127.

Number 1: electronic total energy -7.118 eV/atom. Number 2: electronic total energy -7.652 eV/atom. Number 3: electronic total energy -2.390 eV/atom.